Entry from Alexandria via LeMat-Bulk: a relaxed structure of NaScVF6 (PBE with a Hubbard U).

It has space group P4_2nm (No. 102), with a = 5.001 Å, b = 5.001 Å, c = 9.933 Å, α = 90.00°, β = 90.00° and γ = 90.00°. The inequivalent atoms are Na at (0.000, 0.000, 0.000), Sc at (0.000, 0.000, 0.333), V at (0.000, 0.000, 0.669), F at (0.181, 0.181, 0.495), F at (0.200, 0.200, 0.185) and F at (0.211, 0.211, 0.823).

The uncorrected energy comes out at -111.763 eV/cell. The calculation puts the size of the total moment at 6.00 μB/cell.